SiAg8: PBEsol geometry, meta-GGA SCAN.

a b c (Å): 4.0585 6.3451 6.3451
angles (deg): 84.13 71.35 71.35
Fractional positions:
Si 0.0000 0.0000 0.0000
Ag 0.0000 0.6696 0.3304
Ag 0.0000 0.3304 0.6696
Ag 0.6696 0.3304 0.3304
Ag 0.3304 0.6696 0.6696
Ag 0.3359 0.3282 0.0000
Ag 0.3359 0.0000 0.3282
Ag 0.6641 0.0000 0.6718
Ag 0.6641 0.6718 0.0000

Results
Formation energy (no corrections): 0.0953 eV/atom